Record 1
Below is an optimized crystal structure of K2NbWN4, with properties calculated at the GGA-PBE level.

Cell and atoms, written as CIF:
```
data_K2NbWN4
_cell_length_a 5.809
_cell_length_b 5.809
_cell_length_c 8.670
_cell_angle_alpha 90.00
_cell_angle_beta 90.00
_cell_angle_gamma 90.00
_space_group_name_H-M_alt 'I -4'
_space_group_IT_number 82
_space_group_name_Hall 'I -4'
loop_
_atom_site_label
_atom_site_fract_x
_atom_site_fract_y
_atom_site_fract_z
K1 0.000 0.000 0.000
K2 0.000 0.500 0.250
Nb1 0.000 0.500 0.750
W1 0.000 0.000 0.500
N1 0.114 0.243 0.623
```

Calculated values
mass density	4.666	g/cm³
M_tot	0.04	μB per formula unit
electronic total energy	-126.47	eV/cell

Record 2
Below is an optimized crystal structure of KNi3N5, with properties calculated at the GGA-PBE level.

Cell and atoms, written as CIF:
```
data_KNi3N5
_cell_length_a 4.7452
_cell_length_b 4.7452
_cell_length_c 5.9044
_cell_angle_alpha 90.00
_cell_angle_beta 90.00
_cell_angle_gamma 120.00
_space_group_name_H-M_alt 'P 6/m m m'
_space_group_IT_number 191
_space_group_name_Hall '-P 6 2'
loop_
_atom_site_label
_atom_site_fract_x
_atom_site_fract_y
_atom_site_fract_z
K1 0.0000 0.0000 0.0000
Ni1 0.0000 0.5000 0.5000
N1 0.0000 0.0000 0.5000
N2 0.3333 0.6667 0.2810
```

Calculated values
mass density	4.113	g/cm³
M_tot	0.85	μB per formula unit
electronic total energy	-49.97	eV/cell